Here is a geometry-optimized Na3Li12Cd structure from Alexandria. Energies are from PBE.

a b c (Å): 4.6594 4.6594 16.7096
angles (deg): 90.00 90.00 90.00
Last column: nearest neighbours and their distance in Å.
Space group P4/mmm (No. 123)
Asymmetric unit:
Na  0.0000  0.0000  0.0000 x1  12 Li 3.22-3.29
Na  0.0000  0.0000  0.2684 x2  12 Li 3.17-3.30
Li  0.0000  0.5000  0.1330 x4  8 Li 3.18-3.29, 4 Na 3.22-3.25
Li  0.0000  0.5000  0.3970 x4  2 Cd 2.90, 4 Li 2.90-3.24, 2 Na 3.17
Li  0.5000  0.5000  0.0000 x1  8 Li 3.22, 4 Na 3.29
Li  0.5000  0.5000  0.2623 x2  8 Li 3.18-3.24, 4 Na 3.30
Li  0.5000  0.5000  0.5000 x1  8 Li 2.90
Cd  0.0000  0.0000  0.5000 x1  8 Li 2.90

Output
Size of the total moment (μB per formula unit): 0.000
ΔH_f (0 K) (kJ/mol of formula units): -7

Here is a geometry-optimized Ho4Tm2Th structure from Alexandria. Energies are from PBE.

a b c (Å): 4.3732 4.3732 23.5806
angles (deg): 90.00 90.00 90.00
Last column: nearest neighbours and their distance in Å.
Space group I4/mmm (No. 139)
Asymmetric unit:
Ho  0.0000  0.0000  0.1397 x4  1 Th 3.30, 4 Tm 3.39, 4 Ho 3.40
Ho  0.0000  0.5000  0.2500 x4  8 Ho 3.09-3.40
Tm  0.0000  0.0000  0.4187 x4  4 Ho 3.39, 4 Th 3.64
Th  0.0000  0.0000  0.0000 x2  2 Ho 3.30, 8 Tm 3.64

Output
Energy above the lowest structure with this stoichiometry (meV per atom): 293.2
Size of the total moment (μB per formula unit): 0.000
ΔH_f (0 K) (kJ/mol of formula units): 212

Here is a geometry-optimized NpTlBO6 structure from Alexandria. Energies are from PBE.

a b c (Å): 4.5465 5.0027 6.1250
angles (deg): 82.54 68.22 84.95
Last column: nearest neighbours and their distance in Å.
Space group P1 (No. 1)
Asymmetric unit:
Np  0.0000  0.0000  0.0000 x1  3 O 1.81-2.01
Tl  0.3698  0.5498  0.4870 x1  3 O 2.12-2.27
B  0.8951  0.0912  0.4803 x1  3 O 1.37-1.41
O  0.0228  0.8479  0.3876 x1  1 B 1.40
O  0.2921  0.2438  0.9632 x1  1 Np 1.81
O  0.3259  0.7759  0.7677 x1  1 Np 2.01, 1 Tl 2.12
O  0.6905  0.7515  0.0752 x1  1 Np 1.85
O  0.6996  0.2149  0.3603 x1  1 B 1.41
O  0.9652  0.2124  0.6416 x1  1 B 1.37

Output
Formation energy (no corrections) (eV per atom): -1.931
Size of the total moment (μB per formula unit): 1.000

Here is a geometry-optimized Li2TlPCO7 structure from Alexandria. Energies are from PBE.

a b c (Å): 4.9187 6.6072 9.5010
angles (deg): 90.00 97.07 90.00
Last column: nearest neighbours and their distance in Å.
Space group P2_1/m (No. 11)
Asymmetric unit:
Li  0.2121  0.0064  0.3320 x4  3 O 2.01-2.07
Tl  0.2509  0.7500  0.8757 x2  5 O 2.21-2.29
P  0.2349  0.2500  0.8932 x2  4 O 1.55-1.57
C  0.2576  0.7500  0.5731 x2  3 O 1.28-1.34
O  0.0121  0.7500  0.6080 x2  1 C 1.29
O  0.1157  0.0634  0.8077 x4  1 P 1.55
O  0.1736  0.2500  0.0494 x2  1 P 1.55
O  0.3113  0.7500  0.4447 x2  1 C 1.28
O  0.4440  0.7500  0.0978 x2  1 P 1.57
O  0.4682  0.7500  0.6774 x2  1 C 1.34

Output
Formation energy (no corrections) (eV per atom): -1.723
Size of the total moment (μB per formula unit): 0.000

Number 2 is which compound?
Ho4Tm2Th

size of the total moment of number 2 (Ho4Tm2Th)?
0.000 μB per formula unit

What is the formula in the second record?
Ho4Tm2Th